1.
## ZrCoGe (PBE)

Data for an optimized crystal structure of ZrCoGe.

Geometry as extended XYZ:
```
6
Lattice="4.107 0.000 0.000 -2.054 3.557 0.000 0.000 0.000 6.532" Properties=species:S:1:pos:R:3 pbc="T T T"
Ge 2.054 1.186 6.311
Ge 0.000 2.371 3.045
Zr 0.000 0.000 4.794
Co 0.000 2.371 0.326
Zr 0.000 0.000 1.528
Co 2.054 1.186 3.592
```

**E_tot**: -22.17 eV/f.u.
**SG**: P6_3mc

---

2.
## Zr4Co7Ge6 (PBE)

Data for an optimized crystal structure of Zr4Co7Ge6.

Geometry as extended XYZ:
```
17
Lattice="3.944 3.944 3.944 3.944 -3.944 -3.944 -3.944 3.944 -3.944" Properties=species:S:1:pos:R:3 pbc="T T T"
Co 1.972 3.944 0.000
Co 0.000 0.000 0.000
Co 0.000 1.972 -3.944
Co 1.972 0.000 -3.944
Co 3.944 1.972 0.000
Ge 0.000 0.000 -2.519
Ge 5.369 0.000 0.000
Ge 0.000 2.519 0.000
Co 3.944 0.000 -1.972
Ge 0.000 0.000 -5.369
Zr -1.972 1.972 -1.972
Ge 2.519 0.000 0.000
Co 0.000 3.944 -1.972
Ge 0.000 5.369 0.000
Zr 1.972 1.972 1.972
Zr 1.972 1.972 -1.972
Zr 1.972 -1.972 -1.972
```

**E_tot**: -121.91 eV/f.u.
**SG**: Im-3m

---

3.
## ZrCoGe2 (PBE)

Data for an optimized crystal structure of ZrCoGe2.

Geometry as extended XYZ:
```
4
Lattice="0.000 3.208 3.208 3.208 0.000 3.208 3.208 3.208 0.000" Properties=species:S:1:pos:R:3 pbc="T T T"
Zr 1.604 1.604 1.604
Co 3.208 3.208 3.208
Ge 4.812 4.812 4.812
Ge 0.000 0.000 0.000
```

**E_tot**: -25.02 eV/f.u.
**SG**: F-43m

---

4.
## Zr2CoGe (PBE)

Data for an optimized crystal structure of Zr2CoGe.

Geometry as extended XYZ:
```
4
Lattice="-2.670 -1.417 3.458 -1.897 3.068 2.843 -4.527 0.762 -0.133" Properties=species:S:1:pos:R:3 pbc="T T T"
Co -2.273 0.603 1.542
Zr 0.000 0.000 0.000
Zr -6.820 1.810 4.626
Ge -4.547 1.207 3.084
```

**E_tot**: -28.63 eV/f.u.
**SG**: F-43m